Entry 1:
TaTl2Pt: optimized geometry, PBE.

Properties
Spin magnetization, μB/cell: 0.0
Space group: No. 119
Formation enthalpy at 0 K, eV per atom: 0.44
Relative energy among the computed polymorphs, meV/atom: 404

a = 4.2043 Å, b = 4.2043 Å, c = 9.1568 Å
α = 90.00°, β = 90.00°, γ = 90.00°
Element x y z (fractional)
Ta1 0.0000 0.0000 0.0000
Ta2 0.5000 0.5000 0.5000
Tl1 0.0000 0.0000 0.5000
Tl2 0.0000 0.5000 0.7500
Tl3 0.5000 0.0000 0.2500
Tl4 0.5000 0.5000 0.0000
Pt1 0.0000 0.5000 0.2500
Pt2 0.5000 0.0000 0.7500

***

Entry 2:
Ta2TlPt2: optimized geometry, PBE.

Properties
Spin magnetization, μB/cell: 0.0
Space group: No. 139
Formation enthalpy at 0 K, eV per atom: -0.04

a = 4.2080 Å, b = 4.2080 Å, c = 11.6390 Å
α = 90.00°, β = 90.00°, γ = 90.00°
Element x y z (fractional)
Ta1 0.0000 0.5000 0.2500
Ta2 0.0000 0.5000 0.7500
Ta3 0.5000 0.0000 0.2500
Ta4 0.5000 0.0000 0.7500
Tl1 0.0000 0.0000 0.0000
Tl2 0.5000 0.5000 0.5000
Pt1 0.0000 0.0000 0.3887
Pt2 0.0000 0.0000 0.6113
Pt3 0.5000 0.5000 0.1113
Pt4 0.5000 0.5000 0.8887

***

Entry 3:
TaTl2Pt: optimized geometry, PBE.

Properties
Spin magnetization, μB/cell: 0.0
Space group: No. 47
Formation enthalpy at 0 K, eV per atom: 0.43
Relative energy among the computed polymorphs, meV/atom: 390

a = 3.0908 Å, b = 5.0507 Å, c = 5.3056 Å
α = 90.00°, β = 90.00°, γ = 90.00°
Element x y z (fractional)
Ta1 0.0000 0.0000 0.0000
Tl1 0.0000 0.5000 0.5000
Tl2 0.5000 0.5000 0.0000
Pt1 0.5000 0.0000 0.5000

***

Entry 4:
TaTl2Pt: optimized geometry, PBE.

Properties
Spin magnetization, μB/cell: 0.0
Space group: No. 99
Formation enthalpy at 0 K, eV per atom: 0.06
Relative energy among the computed polymorphs, meV/atom: 17

a = 3.2649 Å, b = 3.2649 Å, c = 8.5748 Å
α = 90.00°, β = 90.00°, γ = 90.00°
Element x y z (fractional)
Ta1 0.0000 0.0000 0.0000
Tl1 0.0000 0.0000 0.5747
Tl2 0.5000 0.5000 0.2540
Pt1 0.5000 0.5000 0.8465

***

Entry 5:
TaTlPt2: optimized geometry, PBE.

Properties
Spin magnetization, μB/cell: 0.0
Space group: No. 160
Formation enthalpy at 0 K, eV per atom: 0.09

a = 2.9697 Å, b = 2.9697 Å, c = 28.3319 Å
α = 90.00°, β = 90.00°, γ = 120.00°
Element x y z (fractional)
Ta1 0.0000 0.0000 0.0000
Ta2 0.3333 0.6667 0.6667
Ta3 0.6667 0.3333 0.3333
Tl1 0.0000 0.0000 0.2422
Tl2 0.3333 0.6667 0.9088
Tl3 0.6667 0.3333 0.5755
Pt1 0.0000 0.0000 0.4919
Pt2 0.0000 0.0000 0.7431
Pt3 0.3333 0.6667 0.1586
Pt4 0.3333 0.6667 0.4097
Pt5 0.6667 0.3333 0.0764
Pt6 0.6667 0.3333 0.8252

***

Entry 6:
TaTlPt2: optimized geometry, PBE.

Properties
Spin magnetization, μB/cell: 0.0
Space group: No. 12
Formation enthalpy at 0 K, eV per atom: -0.11

a = 8.7187 Å, b = 3.3916 Å, c = 5.3934 Å
α = 90.00°, β = 102.20°, γ = 90.00°
Element x y z (fractional)
Ta1 0.0000 0.0000 0.0000
Ta2 0.5000 0.5000 0.0000
Tl1 0.0000 0.5000 0.5000
Tl2 0.5000 0.0000 0.5000
Pt1 0.2259 0.5000 0.1956
Pt2 0.2741 0.0000 0.8044
Pt3 0.7259 0.0000 0.1956
Pt4 0.7741 0.5000 0.8044

***

Entry 7:
TaTl2Pt: optimized geometry, PBE.

Properties
Spin magnetization, μB/cell: 0.0
Space group: No. 123
Formation enthalpy at 0 K, eV per atom: 0.43
Relative energy among the computed polymorphs, meV/atom: 395

a = 3.0789 Å, b = 3.0789 Å, c = 8.4452 Å
α = 90.00°, β = 90.00°, γ = 90.00°
Element x y z (fractional)
Ta1 0.0000 0.0000 0.0000
Tl1 0.5000 0.5000 0.2624
Tl2 0.5000 0.5000 0.7376
Pt1 0.0000 0.0000 0.5000

***

Entry 8:
TaTlPt4: optimized geometry, PBE.

Properties
Spin magnetization, μB/cell: 0.0
Space group: No. 216
Formation enthalpy at 0 K, eV per atom: -0.02

a = 5.3145 Å, b = 5.3145 Å, c = 5.3145 Å
α = 60.00°, β = 60.00°, γ = 60.00°
Element x y z (fractional)
Ta1 0.0000 0.0000 0.0000
Tl1 0.7500 0.7500 0.7500
Pt1 0.3743 0.3743 0.3743
Pt2 0.3743 0.3743 0.8770
Pt3 0.3743 0.8770 0.3743
Pt4 0.8770 0.3743 0.3743

***

Entry 9:
TaTl2Pt: optimized geometry, PBE.

Properties
Spin magnetization, μB/cell: 0.0
Space group: No. 122
Formation enthalpy at 0 K, eV per atom: 0.62
Relative energy among the computed polymorphs, meV/atom: 575

a = 7.7781 Å, b = 7.7781 Å, c = 5.7914 Å
α = 90.00°, β = 90.00°, γ = 90.00°
Element x y z (fractional)
Ta1 0.0000 0.0000 0.0000
Ta2 0.0000 0.5000 0.2500
Ta3 0.5000 0.0000 0.7500
Ta4 0.5000 0.5000 0.5000
Tl1 0.2319 0.2500 0.6250
Tl2 0.2500 0.7319 0.8750
Tl3 0.2500 0.7681 0.3750
Tl4 0.2681 0.2500 0.1250
Tl5 0.7319 0.7500 0.1250
Tl6 0.7500 0.2319 0.3750
Tl7 0.7500 0.2681 0.8750
Tl8 0.7681 0.7500 0.6250
Pt1 0.0000 0.0000 0.5000
Pt2 0.0000 0.5000 0.7500
Pt3 0.5000 0.0000 0.2500
Pt4 0.5000 0.5000 0.0000

***

Entry 10:
TaTlPt2: optimized geometry, PBE.

Properties
Spin magnetization, μB/cell: 0.0
Space group: No. 123
Formation enthalpy at 0 K, eV per atom: 0.05

a = 4.1253 Å, b = 4.1253 Å, c = 4.1910 Å
α = 90.00°, β = 90.00°, γ = 90.00°
Element x y z (fractional)
Ta1 0.0000 0.0000 0.0000
Tl1 0.5000 0.5000 0.0000
Pt1 0.0000 0.5000 0.5000
Pt2 0.5000 0.0000 0.5000

***

Entry 11:
TaTlPt2: optimized geometry, PBE.

Properties
Spin magnetization, μB/cell: 0.0
Space group: No. 10
Formation enthalpy at 0 K, eV per atom: -0.33

a = 2.8709 Å, b = 3.3221 Å, c = 8.0410 Å
α = 90.00°, β = 96.11°, γ = 90.00°
Element x y z (fractional)
Ta1 0.0000 0.0000 0.0000
Tl1 0.0000 0.0000 0.5000
Pt1 0.4284 0.5000 0.7892
Pt2 0.5716 0.5000 0.2108

***

Entry 12:
TaTlPt2: optimized geometry, PBE.

Properties
Spin magnetization, μB/cell: 0.0
Space group: No. 216
Formation enthalpy at 0 K, eV per atom: 0.01

a = 6.5649 Å, b = 6.5649 Å, c = 6.5649 Å
α = 90.00°, β = 90.00°, γ = 90.00°
Element x y z (fractional)
Ta1 0.0000 0.0000 0.0000
Ta2 0.0000 0.5000 0.5000
Ta3 0.5000 0.0000 0.5000
Ta4 0.5000 0.5000 0.0000
Tl1 0.2500 0.2500 0.7500
Tl2 0.2500 0.7500 0.2500
Tl3 0.7500 0.2500 0.2500
Tl4 0.7500 0.7500 0.7500
Pt1 0.0000 0.0000 0.5000
Pt2 0.0000 0.5000 0.0000
Pt3 0.2500 0.2500 0.2500
Pt4 0.2500 0.7500 0.7500
Pt5 0.5000 0.0000 0.0000
Pt6 0.5000 0.5000 0.5000
Pt7 0.7500 0.2500 0.7500
Pt8 0.7500 0.7500 0.2500

***

Entry 13:
TaTl2Pt: optimized geometry, PBE.

Properties
Spin magnetization, μB/cell: 0.0
Space group: No. 44
Formation enthalpy at 0 K, eV per atom: 0.27
Relative energy among the computed polymorphs, meV/atom: 229

a = 3.0082 Å, b = 5.0582 Å, c = 11.5912 Å
α = 90.00°, β = 90.00°, γ = 90.00°
Element x y z (fractional)
Ta1 0.0000 0.0000 0.0000
Ta2 0.5000 0.5000 0.5000
Tl1 0.0000 0.0000 0.5377
Tl2 0.0000 0.5000 0.7421
Tl3 0.5000 0.0000 0.2421
Tl4 0.5000 0.5000 0.0377
Pt1 0.0000 0.5000 0.3129
Pt2 0.5000 0.0000 0.8129

***

Entry 14:
TaTl2Pt: optimized geometry, PBE.

Properties
Spin magnetization, μB/cell: 0.0
Space group: No. 6
Formation enthalpy at 0 K, eV per atom: 0.04
Relative energy among the computed polymorphs, meV/atom: 0

a = 3.2006 Å, b = 3.2806 Å, c = 8.8074 Å
α = 90.00°, β = 100.40°, γ = 90.00°
Element x y z (fractional)
Ta1 0.0000 0.0000 0.0000
Tl1 0.6252 0.5000 0.2507
Tl2 0.7943 0.0000 0.5820
Pt1 0.4215 0.5000 0.8425

***

Entry 15:
TaTlPt2: optimized geometry, PBE.

Properties
Spin magnetization, μB/cell: 0.0
Space group: No. 122
Formation enthalpy at 0 K, eV per atom: 0.10

a = 7.4920 Å, b = 7.4920 Å, c = 5.7465 Å
α = 90.00°, β = 90.00°, γ = 90.00°
Element x y z (fractional)
Ta1 0.0000 0.0000 0.0000
Ta2 0.0000 0.5000 0.2500
Ta3 0.5000 0.0000 0.7500
Ta4 0.5000 0.5000 0.5000
Tl1 0.0000 0.0000 0.5000
Tl2 0.0000 0.5000 0.7500
Tl3 0.5000 0.0000 0.2500
Tl4 0.5000 0.5000 0.0000
Pt1 0.2184 0.7500 0.1250
Pt2 0.2500 0.2184 0.8750
Pt3 0.2500 0.2816 0.3750
Pt4 0.2816 0.7500 0.6250
Pt5 0.7184 0.2500 0.6250
Pt6 0.7500 0.7184 0.3750
Pt7 0.7500 0.7816 0.8750
Pt8 0.7816 0.2500 0.1250

***

| no. | electronic total energy (eV/atom) |
| --- | --- |
| 1 | -5.213 |
| 2 | -7.672 |
| 3 | -5.227 |
| 4 | -5.600 |
| 5 | -6.489 |
| 6 | -6.685 |
| 7 | -5.222 |
| 8 | -6.413 |
| 9 | -5.041 |
| 10 | -6.526 |
| 11 | -6.901 |
| 12 | -6.561 |
| 13 | -5.388 |
| 14 | -5.617 |
| 15 | -6.478 |